# 1
KGeBrO2: relaxed, PBE.

Calculated values
E_tot (eV/atom): -3.03
Formation energy from raw total energies (meV per atom): 433
Space-group type: P4/mmm, No. 123
D(E_F) (states/eV/cell): 4.1

Unit cell a=4.497 b=4.990 c=4.497 alpha=90.00 beta=90.00 gamma=90.00
Positions (direct):
O 0.000 0.000 0.500
O 0.500 0.000 0.000
Ge 0.000 0.500 0.000
K 0.500 0.500 0.500
Br 0.000 0.000 0.000

# 2
KGePb2Br8: relaxed, PBE.

Calculated values
E_tot (eV/atom): -3.07
Formation energy from raw total energies (meV per atom): -857
Space-group type: P2/m, No. 10
D(E_F) (states/eV/cell): 4.1

Unit cell a=7.100 b=6.798 c=9.080 alpha=89.98 beta=90.00 gamma=88.53
Positions (direct):
K 0.000 0.000 0.500
Ge 0.000 0.000 0.000
Pb 0.500 0.500 0.757
Pb 0.500 0.500 0.243
Br 0.158 0.772 0.207
Br 0.693 0.767 0.000
Br 0.842 0.228 0.207
Br 0.842 0.228 0.793
Br 0.307 0.233 0.000
Br 0.158 0.772 0.793
Br 0.639 0.726 0.500
Br 0.361 0.274 0.500

# 3
K3Ge2PbBr9: relaxed, PBE.

Calculated values
E_tot (eV/atom): -3.16
Formation energy from raw total energies (meV per atom): -1077
Space-group type: P-3m1, No. 164
D(E_F) (states/eV/cell): 0.0

Unit cell a=7.928 b=7.928 c=10.211 alpha=90.00 beta=90.00 gamma=120.00
Positions (direct):
K 0.333 0.667 0.744
K 0.000 0.000 0.000
K 0.667 0.333 0.256
Ge 0.333 0.667 0.166
Ge 0.667 0.333 0.834
Pb 0.000 0.000 0.500
Br 0.832 0.168 0.687
Br 0.832 0.664 0.687
Br 0.336 0.168 0.687
Br 0.664 0.832 0.313
Br 0.168 0.336 0.313
Br 0.168 0.832 0.313
Br 0.500 0.000 0.000
Br 0.000 0.500 0.000
Br 0.500 0.500 0.000